# PBE with a Hubbard U AcUMn2O8, relaxed
# - Calculated density: 6.43 g cm⁻³
# - Energy: -195.12 eV per cell
# - Spin magnetization: 7.00 μB per formula unit
data_AcUMn2O8
_chemical_formula_sum 'Ac2 U2 Mn4 O16'
_cell_length_a 7.3132
_cell_length_b 7.3132
_cell_length_c 6.7835
_cell_angle_alpha 90.00
_cell_angle_beta 90.00
_cell_angle_gamma 90.00
_symmetry_space_group_name_H-M 'I -4 m 2'
_symmetry_Int_Tables_number 119
_symmetry_space_group_name_Hall 'I -4 -2'
loop_
_atom_site_label
_atom_site_type_symbol
_atom_site_fract_x
_atom_site_fract_y
_atom_site_fract_z
_atom_site_occupancy
Ac1 Ac 0.0000 0.0000 0.0000 1
U1 U 0.0000 0.5000 0.2500 1
Mn1 Mn 0.0000 0.0000 0.5000 1
Mn2 Mn 0.0000 0.5000 0.7500 1
O1 O 0.0000 0.2240 0.3081 1
O2 O 0.0000 0.3260 0.9173 1